[1]
Material: LiIn2Ge2Pd5
Method: DFT, PBE
State: optimized geometry

Computed properties:
Total DFT energy (no corrections) (eV per cell): -92.026
Energy of formation (eV/atom): -0.34

a b c (Å): 10.2061 10.2061 3.2761
angles (deg): 90.00 90.00 90.00
Element x y z (fractional)
Li 0.0000 0.0000 0.0000
Li 0.5000 0.5000 0.0000
In 0.1730 0.3270 0.0000
In 0.3270 0.8270 0.0000
In 0.6730 0.1730 0.0000
In 0.8270 0.6730 0.0000
Ge 0.1411 0.6411 0.0000
Ge 0.3589 0.1411 0.0000
Ge 0.6411 0.8589 0.0000
Ge 0.8589 0.3589 0.0000
Pd 0.0000 0.5000 0.5000
Pd 0.0148 0.7925 0.5000
Pd 0.2075 0.0148 0.5000
Pd 0.2925 0.5148 0.5000
Pd 0.4852 0.2925 0.5000
Pd 0.5000 0.0000 0.5000
Pd 0.5148 0.7075 0.5000
Pd 0.7075 0.4852 0.5000
Pd 0.7925 0.9852 0.5000
Pd 0.9852 0.2075 0.5000



[2]
Material: LiPrInGe
Method: DFT, PBE
State: optimized geometry

Computed properties:
Total DFT energy (no corrections) (eV per cell): -15.471
Energy of formation (eV/atom): -0.36

a b c (Å): 5.1301 5.1301 5.1301
angles (deg): 60.00 60.00 60.00
Element x y z (fractional)
Li 0.0000 0.0000 0.0000
Pr 0.5000 0.5000 0.5000
In 0.7500 0.7500 0.7500
Ge 0.2500 0.2500 0.2500



[3]
Material: RbLi2InGe
Method: DFT, PBE
State: optimized geometry

Computed properties:
Total DFT energy (no corrections) (eV per cell): -12.578
Energy of formation (eV/atom): -0.09

a b c (Å): 5.2327 5.2327 5.5561
angles (deg): 90.00 90.00 90.00
Element x y z (fractional)
Rb 0.0000 0.0000 0.0000
Li 0.0000 0.5000 0.5000
Li 0.5000 0.0000 0.5000
In 0.5000 0.5000 0.0000
Ge 0.5000 0.5000 0.5000



> Number 1 is which compound?

LiIn2Ge2Pd5



Please write out number 1 again, unchanged.
Material: LiIn2Ge2Pd5
Method: DFT, PBE
State: optimized geometry

Computed properties:
Total DFT energy (no corrections) (eV per cell): -92.026
Energy of formation (eV/atom): -0.34

a b c (Å): 10.2061 10.2061 3.2761
angles (deg): 90.00 90.00 90.00
Element x y z (fractional)
Li 0.0000 0.0000 0.0000
Li 0.5000 0.5000 0.0000
In 0.1730 0.3270 0.0000
In 0.3270 0.8270 0.0000
In 0.6730 0.1730 0.0000
In 0.8270 0.6730 0.0000
Ge 0.1411 0.6411 0.0000
Ge 0.3589 0.1411 0.0000
Ge 0.6411 0.8589 0.0000
Ge 0.8589 0.3589 0.0000
Pd 0.0000 0.5000 0.5000
Pd 0.0148 0.7925 0.5000
Pd 0.2075 0.0148 0.5000
Pd 0.2925 0.5148 0.5000
Pd 0.4852 0.2925 0.5000
Pd 0.5000 0.0000 0.5000
Pd 0.5148 0.7075 0.5000
Pd 0.7075 0.4852 0.5000
Pd 0.7925 0.9852 0.5000
Pd 0.9852 0.2075 0.5000



> Which value of energy of formation does entry 2 give?

-0.36 eV/atom